[1]
VASP calculation (PBE) on a relaxed NdCrAs2 crystal.

Summary:
Final energy   -6.683 eV per atom
Total moment   2.8 Bohr magnetons per cell

Cell and atoms, written as POSCAR:
```
NdCrAs2
1.0
4.020 0.000 0.000
2.010 3.481 0.000
2.010 1.160 6.074
As Nd Cr
2 1 1
direct
0.732 0.732 0.804
0.268 0.268 0.196
0.500 0.500 0.500
0.000 0.000 0.000
```

[2]
VASP calculation (PBE) on a relaxed Si2SnRhO crystal.

Summary:
Final energy   -6.178 eV per atom
Energy above the most stable polymorph in this dataset   3.88 kJ/mol of atoms
Raw formation energy   -17.2 kcal/mol of atoms
Total moment   0.0 Bohr magnetons per cell

Cell and atoms, written as POSCAR:
```
Si2SnRhO
1.0
-0.853 2.280 -1.657
-2.820 -0.517 0.740
2.699 11.619 18.397
Sn Rh O Si
2 2 2 4
direct
0.492 0.500 0.625
0.492 0.000 0.125
0.583 0.000 0.740
0.583 0.500 0.240
0.728 0.000 0.438
0.728 0.500 0.938
0.121 0.000 0.292
0.200 0.500 0.900
0.121 0.500 0.792
0.200 0.000 0.400
```

[3]
VASP calculation (PBE) on a relaxed CaGe3As crystal.

Summary:
Final energy   -2.908 eV per atom
Energy above the most stable polymorph in this dataset   87.18 kJ/mol of atoms
Total moment   0.9 Bohr magnetons per cell

Cell and atoms, written as POSCAR:
```
CaGe3As
1.0
5.344 0.000 0.000
0.000 5.344 0.000
0.000 0.000 5.344
Ge Ca As
3 1 1
direct
0.000 0.000 0.500
0.500 0.000 0.000
0.000 0.500 0.000
0.000 0.000 0.000
0.500 0.500 0.500
```

[4]
VASP calculation (PBE) on a relaxed La2GaSnH crystal.

Summary:
Final energy   -4.565 eV per atom
Total moment   0.0 Bohr magnetons per cell

Cell and atoms, written as POSCAR:
```
La2GaSnH
1.0
4.993 0.000 0.000
0.000 4.993 0.000
0.000 0.000 4.576
H Ga La Sn
1 1 2 1
direct
0.000 0.000 0.000
0.000 0.000 0.500
0.500 0.000 0.000
0.000 0.500 0.000
0.500 0.500 0.500
```

Copy entry 3 word for word.
VASP calculation (PBE) on a relaxed CaGe3As crystal.

Summary:
Final energy   -2.908 eV per atom
Energy above the most stable polymorph in this dataset   87.18 kJ/mol of atoms
Total moment   0.9 Bohr magnetons per cell

Cell and atoms, written as POSCAR:
```
CaGe3As
1.0
5.344 0.000 0.000
0.000 5.344 0.000
0.000 0.000 5.344
Ge Ca As
3 1 1
direct
0.000 0.000 0.500
0.500 0.000 0.000
0.000 0.500 0.000
0.000 0.000 0.000
0.500 0.500 0.500
```